Entry from Alexandria: a relaxed structure of NaV2PtO6 (GGA+U).

## Properties
E	-67.09	eV/f.u.

a b c (Å): 6.1933 7.6386 7.6386
angles (deg): 67.12 66.97 66.97
Closest atoms and distances in Å follow each position.
Sites, in units of the cell vectors:
1 Pt 0.2500 0.2124 0.7876  4 O 2.00-2.01
2 Pt 0.7500 0.7876 0.2124  4 O 2.00-2.01
3 V 0.7928 0.6164 0.8324  4 O 1.76-1.83
4 V 0.2072 0.3836 0.1676  4 O 1.76-1.83
5 V 0.7072 0.1676 0.3836  4 O 1.76-1.83
6 V 0.2928 0.8324 0.6164  4 O 1.76-1.83
7 O 0.3980 0.8983 0.3537  1 V 1.78
8 O 0.9479 0.2842 0.3115  2 V 1.81-1.83
9 O 0.6020 0.1017 0.6463  1 V 1.78
10 O 0.1020 0.6463 0.1017  1 V 1.78
11 O 0.6583 0.6847 0.0548  1 V 1.76
12 O 0.8417 0.9452 0.3153  1 V 1.76
13 O 0.1583 0.0548 0.6847  1 V 1.76
14 O 0.0521 0.7158 0.6885  2 V 1.81-1.83
15 O 0.8980 0.3537 0.8983  1 V 1.78
16 O 0.3417 0.3153 0.9452  1 V 1.76
17 O 0.4479 0.3115 0.2842  2 V 1.81-1.83
18 O 0.5521 0.6885 0.7158  2 V 1.81-1.83
19 Na 0.7500 0.1451 0.8549  4 O 2.30-2.31
20 Na 0.2500 0.8549 0.1451  4 O 2.30-2.31